# VSb2TePt, optimized geometry, DFT PBE-GGA
data_VSb2TePt
_cell_length_a 5.164
_cell_length_b 5.164
_cell_length_c 5.506
_cell_angle_alpha 90.00
_cell_angle_beta 90.00
_cell_angle_gamma 90.00
_symmetry_space_group_name_H-M 'P 1'
_symmetry_Int_Tables_number 1
loop_
_symmetry_equiv_pos_as_xyz
'x,y,z'
loop_
_atom_site_label
_atom_site_type_symbol
_atom_site_fract_x
_atom_site_fract_y
_atom_site_fract_z
Pt1 Pt 0.000 0.000 0.000
Sb1 Sb 0.500 0.000 0.000
Sb2 Sb 0.000 0.500 0.000
V1 V 0.500 0.500 0.500
Te1 Te 0.000 0.000 0.500
# SG = P4/mmm (123)
# magnetization = 3.326 μB per formula unit
# E_tot = -22.98 eV/f.u.
# E above lowest polymorph = 0.149 eV per atom

---

# SbTe2PtW, optimized geometry, DFT PBE-GGA
data_SbTe2PtW
_cell_length_a 5.166
_cell_length_b 5.166
_cell_length_c 5.261
_cell_angle_alpha 90.00
_cell_angle_beta 90.00
_cell_angle_gamma 90.00
_symmetry_space_group_name_H-M 'P 1'
_symmetry_Int_Tables_number 1
loop_
_symmetry_equiv_pos_as_xyz
'x,y,z'
loop_
_atom_site_label
_atom_site_type_symbol
_atom_site_fract_x
_atom_site_fract_y
_atom_site_fract_z
Sb1 Sb 0.000 0.000 0.500
Pt1 Pt 0.500 0.500 0.500
W1 W 0.000 0.000 0.000
Te1 Te 0.000 0.500 0.000
Te2 Te 0.500 0.000 0.000
# SG = P4/mmm (123)
# magnetization = 0.000 μB per formula unit
# E_tot = -24.41 eV/f.u.
# E above lowest polymorph = 0.000 eV per atom

---

# SbTe2PtW, optimized geometry, DFT PBE-GGA
data_SbTe2PtW
_cell_length_a 5.309
_cell_length_b 5.309
_cell_length_c 5.067
_cell_angle_alpha 90.00
_cell_angle_beta 90.00
_cell_angle_gamma 90.00
_symmetry_space_group_name_H-M 'P 1'
_symmetry_Int_Tables_number 1
loop_
_symmetry_equiv_pos_as_xyz
'x,y,z'
loop_
_atom_site_label
_atom_site_type_symbol
_atom_site_fract_x
_atom_site_fract_y
_atom_site_fract_z
W1 W 0.500 0.500 0.500
Te1 Te 0.500 0.000 0.000
Te2 Te 0.000 0.500 0.000
Sb1 Sb 0.000 0.000 0.500
Pt1 Pt 0.000 0.000 0.000
# SG = P4/mmm (123)
# magnetization = 2.859 μB per formula unit
# E_tot = -23.03 eV/f.u.
# E above lowest polymorph = 0.276 eV per atom

---

# Sb2TePtW, optimized geometry, DFT PBE-GGA
data_Sb2TePtW
_cell_length_a 5.135
_cell_length_b 5.135
_cell_length_c 5.337
_cell_angle_alpha 90.00
_cell_angle_beta 90.00
_cell_angle_gamma 90.00
_symmetry_space_group_name_H-M 'P 1'
_symmetry_Int_Tables_number 1
loop_
_symmetry_equiv_pos_as_xyz
'x,y,z'
loop_
_atom_site_label
_atom_site_type_symbol
_atom_site_fract_x
_atom_site_fract_y
_atom_site_fract_z
Pt1 Pt 0.000 0.000 0.000
Sb1 Sb 0.000 0.500 0.000
Sb2 Sb 0.500 0.000 0.000
W1 W 0.500 0.500 0.500
Te1 Te 0.000 0.000 0.500
# SG = P4/mmm (123)
# magnetization = 2.808 μB per formula unit
# E_tot = -24.03 eV/f.u.
# E above lowest polymorph = 0.326 eV per atom

---

# Sb2TePtW, optimized geometry, DFT PBE-GGA
data_Sb2TePtW
_cell_length_a 5.205
_cell_length_b 5.205
_cell_length_c 5.126
_cell_angle_alpha 90.00
_cell_angle_beta 90.00
_cell_angle_gamma 90.00
_symmetry_space_group_name_H-M 'P 1'
_symmetry_Int_Tables_number 1
loop_
_symmetry_equiv_pos_as_xyz
'x,y,z'
loop_
_atom_site_label
_atom_site_type_symbol
_atom_site_fract_x
_atom_site_fract_y
_atom_site_fract_z
W1 W 0.000 0.000 0.000
Pt1 Pt 0.500 0.500 0.500
Sb1 Sb 0.500 0.000 0.000
Sb2 Sb 0.000 0.500 0.000
Te1 Te 0.000 0.000 0.500
# SG = P4/mmm (123)
# magnetization = 0.000 μB per formula unit
# E_tot = -25.66 eV/f.u.
# E above lowest polymorph = 0.000 eV per atom

---

# YSb2TePt, optimized geometry, DFT PBE-GGA
data_YSb2TePt
_cell_length_a 5.219
_cell_length_b 5.219
_cell_length_c 5.447
_cell_angle_alpha 90.00
_cell_angle_beta 90.00
_cell_angle_gamma 90.00
_symmetry_space_group_name_H-M 'P 1'
_symmetry_Int_Tables_number 1
loop_
_symmetry_equiv_pos_as_xyz
'x,y,z'
loop_
_atom_site_label
_atom_site_type_symbol
_atom_site_fract_x
_atom_site_fract_y
_atom_site_fract_z
Sb1 Sb 0.000 0.500 0.000
Sb2 Sb 0.500 0.000 0.000
Pt1 Pt 0.000 0.000 0.000
Y1 Y 0.500 0.500 0.500
Te1 Te 0.000 0.000 0.500
# SG = P4/mmm (123)
# magnetization = 0.000 μB per formula unit
# E_tot = -24.26 eV/f.u.
# E above lowest polymorph = 0.000 eV per atom

---

# YSb2TePt, optimized geometry, DFT PBE-GGA
data_YSb2TePt
_cell_length_a 5.723
_cell_length_b 5.723
_cell_length_c 5.615
_cell_angle_alpha 90.00
_cell_angle_beta 90.00
_cell_angle_gamma 90.00
_symmetry_space_group_name_H-M 'P 1'
_symmetry_Int_Tables_number 1
loop_
_symmetry_equiv_pos_as_xyz
'x,y,z'
loop_
_atom_site_label
_atom_site_type_symbol
_atom_site_fract_x
_atom_site_fract_y
_atom_site_fract_z
Te1 Te 0.000 0.000 0.500
Pt1 Pt 0.500 0.500 0.500
Sb1 Sb 0.000 0.500 0.000
Sb2 Sb 0.500 0.000 0.000
Y1 Y 0.000 0.000 0.000
# SG = P4/mmm (123)
# magnetization = 0.000 μB per formula unit
# E_tot = -19.86 eV/f.u.
# E above lowest polymorph = 0.880 eV per atom

---

# ZnSb2TePt, optimized geometry, DFT PBE-GGA
data_ZnSb2TePt
_cell_length_a 5.063
_cell_length_b 5.063
_cell_length_c 5.182
_cell_angle_alpha 90.00
_cell_angle_beta 90.00
_cell_angle_gamma 90.00
_symmetry_space_group_name_H-M 'P 1'
_symmetry_Int_Tables_number 1
loop_
_symmetry_equiv_pos_as_xyz
'x,y,z'
loop_
_atom_site_label
_atom_site_type_symbol
_atom_site_fract_x
_atom_site_fract_y
_atom_site_fract_z
Sb1 Sb 0.000 0.500 0.000
Sb2 Sb 0.500 0.000 0.000
Te1 Te 0.000 0.000 0.500
Pt1 Pt 0.500 0.500 0.500
Zn1 Zn 0.000 0.000 0.000
# SG = P4/mmm (123)
# magnetization = 0.000 μB per formula unit
# E_tot = -14.47 eV/f.u.
# E above lowest polymorph = 0.378 eV per atom

---

# ZnSbTe2Pt, optimized geometry, DFT PBE-GGA
data_ZnSbTe2Pt
_cell_length_a 5.177
_cell_length_b 5.177
_cell_length_c 5.058
_cell_angle_alpha 90.00
_cell_angle_beta 90.00
_cell_angle_gamma 90.00
_symmetry_space_group_name_H-M 'P 1'
_symmetry_Int_Tables_number 1
loop_
_symmetry_equiv_pos_as_xyz
'x,y,z'
loop_
_atom_site_label
_atom_site_type_symbol
_atom_site_fract_x
_atom_site_fract_y
_atom_site_fract_z
Sb1 Sb 0.000 0.000 0.500
Pt1 Pt 0.500 0.500 0.500
Te1 Te 0.000 0.500 0.000
Te2 Te 0.500 0.000 0.000
Zn1 Zn 0.000 0.000 0.000
# SG = P4/mmm (123)
# magnetization = 0.000 μB per formula unit
# E_tot = -13.36 eV/f.u.
# E above lowest polymorph = 0.425 eV per atom

---

# ZnSbTe2Pt, optimized geometry, DFT PBE-GGA
data_ZnSbTe2Pt
_cell_length_a 5.512
_cell_length_b 5.512
_cell_length_c 5.075
_cell_angle_alpha 90.00
_cell_angle_beta 90.00
_cell_angle_gamma 90.00
_symmetry_space_group_name_H-M 'P 1'
_symmetry_Int_Tables_number 1
loop_
_symmetry_equiv_pos_as_xyz
'x,y,z'
loop_
_atom_site_label
_atom_site_type_symbol
_atom_site_fract_x
_atom_site_fract_y
_atom_site_fract_z
Zn1 Zn 0.500 0.500 0.500
Pt1 Pt 0.000 0.000 0.000
Te1 Te 0.500 0.000 0.000
Te2 Te 0.000 0.500 0.000
Sb1 Sb 0.000 0.000 0.500
# SG = P4/mmm (123)
# magnetization = 0.000 μB per formula unit
# E_tot = -15.49 eV/f.u.
# E above lowest polymorph = 0.000 eV per atom

---

# ZnSb2TePt, optimized geometry, DFT PBE-GGA
data_ZnSb2TePt
_cell_length_a 5.217
_cell_length_b 5.217
_cell_length_c 5.580
_cell_angle_alpha 90.00
_cell_angle_beta 90.00
_cell_angle_gamma 90.00
_symmetry_space_group_name_H-M 'P 1'
_symmetry_Int_Tables_number 1
loop_
_symmetry_equiv_pos_as_xyz
'x,y,z'
loop_
_atom_site_label
_atom_site_type_symbol
_atom_site_fract_x
_atom_site_fract_y
_atom_site_fract_z
Sb1 Sb 0.500 0.000 0.000
Sb2 Sb 0.000 0.500 0.000
Te1 Te 0.000 0.000 0.500
Pt1 Pt 0.000 0.000 0.000
Zn1 Zn 0.500 0.500 0.500
# SG = P4/mmm (123)
# magnetization = 0.000 μB per formula unit
# E_tot = -16.36 eV/f.u.
# E above lowest polymorph = 0.000 eV per atom

---

# ThSbPt, optimized geometry, DFT PBE-GGA
data_ThSbPt
_cell_length_a 4.026
_cell_length_b 4.026
_cell_length_c 5.470
_cell_angle_alpha 111.59
_cell_angle_beta 111.59
_cell_angle_gamma 90.00
_symmetry_space_group_name_H-M 'P 1'
_symmetry_Int_Tables_number 1
loop_
_symmetry_equiv_pos_as_xyz
'x,y,z'
loop_
_atom_site_label
_atom_site_type_symbol
_atom_site_fract_x
_atom_site_fract_y
_atom_site_fract_z
Th1 Th 0.610 0.610 0.220
Pt1 Pt 0.965 0.965 0.930
Sb1 Sb 0.275 0.275 0.550
# SG = I4mm (107)
# magnetization = 0.000 μB per formula unit
# E_tot = -19.65 eV/f.u.

---

Question: Which of these has the lowest E_tot?
Answer: number 5